(1)
{
  "formula": "Sm4TePtSe2",
  "functional": "PBE",
  "state": "optimized geometry",
  "lattice": [[4.176, 0.000, 0.000], [0.000, 7.420, -0.174], [0.000, 2.588, 7.007]],
  "species": ["Sm", "Sm", "Sm", "Sm", "Te", "Pt", "Se", "Se"],
  "fractional_positions": [[0.000, 0.738, 0.773], [0.000, 0.262, 0.227], [0.500, 0.762, 0.233], [0.500, 0.238, 0.767], [0.000, 0.500, 0.500], [0.500, 0.500, 0.000], [0.000, 0.000, 0.000], [0.500, 0.000, 0.500]],
  "sg": "No. 10",
  "energy_ev_per_atom": -5.901,
  "magnetic_moment_mub_per_cell": 0.000
}

(2)
{
  "formula": "Sm8Te4Pt3Se",
  "functional": "PBE",
  "state": "optimized geometry",
  "lattice": [[8.512, 0.000, 0.000], [0.000, 8.855, 0.234], [-4.256, -4.251, 6.023]],
  "species": ["Sm", "Sm", "Sm", "Sm", "Sm", "Sm", "Sm", "Sm", "Te", "Te", "Te", "Te", "Pt", "Pt", "Pt", "Se"],
  "fractional_positions": [[0.245, 0.720, 0.975], [0.245, 0.720, 0.490], [0.263, 0.290, 0.527], [0.730, 0.720, 0.975], [0.270, 0.280, 0.025], [0.737, 0.710, 0.473], [0.755, 0.280, 0.510], [0.755, 0.280, 0.025], [0.500, 0.000, 0.000], [0.500, 0.000, 0.500], [0.000, 0.000, 0.000], [0.000, 0.000, 0.500], [0.500, 0.500, 0.000], [0.500, 0.500, 0.500], [0.000, 0.500, 0.500], [0.000, 0.500, 0.000]],
  "sg": "No. 166",
  "energy_ev_per_atom": -5.846,
  "magnetic_moment_mub_per_cell": 0.000
}

(3)
{
  "formula": "Sm4Te2PtSe",
  "functional": "PBE",
  "state": "optimized geometry",
  "lattice": [[-2.112, 0.934, -3.534], [-3.746, -6.528, 0.513], [-3.904, 5.390, 3.758]],
  "species": ["Sm", "Sm", "Sm", "Sm", "Te", "Te", "Pt", "Se"],
  "fractional_positions": [[0.500, 0.246, 0.227], [0.500, 0.754, 0.773], [0.000, 0.275, 0.786], [0.000, 0.725, 0.214], [0.500, 0.000, 0.500], [0.000, 0.500, 0.500], [0.500, 0.500, 0.000], [0.000, 0.000, 0.000]],
  "sg": "No. 10",
  "energy_ev_per_atom": -5.788,
  "magnetic_moment_mub_per_cell": 0.000
}

(4)
{
  "formula": "Sm6Te3PtSe2",
  "functional": "PBE",
  "state": "optimized geometry",
  "lattice": [[4.223, 0.000, 0.000], [0.000, 8.826, 0.251], [-2.111, -2.607, 9.145]],
  "species": ["Sm", "Sm", "Sm", "Sm", "Sm", "Sm", "Te", "Te", "Te", "Pt", "Se", "Se"],
  "fractional_positions": [[0.341, 0.905, 0.682], [0.672, 0.567, 0.344], [0.659, 0.095, 0.318], [0.003, 0.222, 0.005], [0.997, 0.778, 0.995], [0.328, 0.433, 0.656], [0.500, 0.500, 0.000], [0.830, 0.169, 0.661], [0.170, 0.831, 0.339], [0.500, 0.000, 0.000], [0.833, 0.666, 0.666], [0.167, 0.334, 0.334]],
  "sg": "No. 12",
  "energy_ev_per_atom": -5.743,
  "magnetic_moment_mub_per_cell": 0.000
}

(5)
{
  "formula": "Sm8Te4PtSe3",
  "functional": "PBE",
  "state": "optimized geometry",
  "lattice": [[-3.559, 1.406, 7.692], [2.395, -7.985, 2.567], [5.928, 5.422, -3.046]],
  "species": ["Sm", "Sm", "Sm", "Sm", "Sm", "Sm", "Sm", "Sm", "Te", "Te", "Te", "Te", "Pt", "Se", "Se", "Se"],
  "fractional_positions": [[0.234, 0.721, 0.986], [0.234, 0.721, 0.469], [0.259, 0.277, 0.518], [0.752, 0.721, 0.986], [0.248, 0.279, 0.014], [0.741, 0.723, 0.482], [0.766, 0.279, 0.531], [0.766, 0.279, 0.014], [0.500, 0.000, 0.000], [0.500, 0.000, 0.500], [0.000, 0.000, 0.000], [0.000, 0.000, 0.500], [0.000, 0.500, 0.000], [0.500, 0.500, 0.000], [0.500, 0.500, 0.500], [0.000, 0.500, 0.500]],
  "sg": "No. 166",
  "energy_ev_per_atom": -5.723,
  "magnetic_moment_mub_per_cell": 0.000
}

(6)
{
  "formula": "SnPt3Se",
  "functional": "PBE",
  "state": "optimized geometry",
  "lattice": [[4.766, 0.000, 0.000], [0.000, 4.766, 0.000], [0.000, 0.000, 4.766]],
  "species": ["Se", "Sn", "Pt", "Pt", "Pt"],
  "fractional_positions": [[0.000, 0.000, 0.000], [0.500, 0.500, 0.500], [0.000, 0.500, 0.000], [0.000, 0.000, 0.500], [0.500, 0.000, 0.000]],
  "sg": "No. 221",
  "energy_ev_per_atom": -4.782,
  "magnetic_moment_mub_per_cell": 0.000
}